A relaxed structure of MnGaH4O2F5, computed with PBEsol.

- Magnetic moment: 5.00 μB per formula unit
- E_tot: -140.58 eV/cell

```
MnGaH4O2F5
1.0
-3.775 5.404 3.199
3.775 -5.404 3.199
3.775 5.404 -3.199
Mn Ga H O F
2 2 8 4 10
Cartesian
0.000 0.000 0.000
0.000 5.404 0.000
-1.888 2.702 1.600
1.888 2.702 1.600
2.980 -0.993 0.722
4.571 -0.993 0.722
2.980 4.411 -0.722
0.795 -0.993 2.477
2.980 6.397 0.722
0.795 0.993 3.921
-0.795 6.397 2.477
0.795 6.397 2.477
3.775 -0.753 1.264
3.775 4.651 -1.264
0.000 0.753 4.463
0.000 6.157 1.935
1.651 1.358 0.288
5.900 1.358 0.288
1.651 4.046 0.288
2.125 -1.358 3.488
3.775 2.702 1.198
0.000 2.702 2.001
1.651 6.763 -0.288
2.125 1.358 2.911
-2.125 4.046 2.911
2.125 4.046 2.911
```

=====

A relaxed structure of TaAlMo2, computed with PBEsol.

- Magnetic moment: 0.00 μB per formula unit
- ΔH_f (0 K): -0.0880 eV per atom
- E_tot: -40.53 eV/cell

```
TaAlMo2
1.0
2.734 0.000 0.000
0.000 4.480 0.000
-0.994 0.000 5.149
Ta Al Mo
1 1 2
Cartesian
0.000 0.000 0.000
1.630 2.240 1.292
-0.020 2.240 3.801
0.810 0.000 2.619
```

=====

A relaxed structure of LaIn2W, computed with PBEsol.

- ΔE to the lowest computed polymorph: 0.000 eV per atom
- Magnetic moment: 2.06 μB per formula unit
- ΔH_f (0 K): 0.3752 eV per atom
- E_tot: -94.47 eV/cell

```
LaIn2W
1.0
7.134 0.000 0.000
0.000 7.134 0.000
0.000 0.000 7.134
La In W
4 8 4
Cartesian
0.000 0.000 0.000
0.000 3.567 3.567
3.567 0.000 3.567
3.567 3.567 0.000
1.783 1.783 1.783
1.783 1.783 5.350
1.783 5.350 1.783
1.783 5.350 5.350
5.350 1.783 1.783
5.350 1.783 5.350
5.350 5.350 1.783
5.350 5.350 5.350
0.000 0.000 3.567
0.000 3.567 0.000
3.567 0.000 0.000
3.567 3.567 3.567
```

=====

A relaxed structure of Li2AlTc, computed with PBEsol.

- Magnetic moment: 0.00 μB per formula unit
- ΔH_f (0 K): 0.0313 eV per atom
- E_tot: -19.17 eV/cell

```
Li2AlTc
1.0
2.638 0.000 0.000
0.000 2.638 0.000
0.000 0.000 8.754
Li Al Tc
2 1 1
Cartesian
0.000 0.000 0.000
1.319 1.319 2.568
1.319 1.319 6.628
0.000 0.000 4.689
```

=====

A relaxed structure of ZrFeOs, computed with PBEsol.

- Magnetic moment: 3.50 μB per formula unit
- ΔH_f (0 K): 0.4456 eV per atom
- E_tot: -115.73 eV/cell

```
ZrFeOs
1.0
6.061 0.000 0.000
0.000 6.061 0.000
0.000 0.000 6.061
Zr Fe Os
4 4 4
Cartesian
0.000 0.000 0.000
0.000 3.030 3.030
3.030 0.000 3.030
3.030 3.030 0.000
0.000 0.000 3.030
0.000 3.030 0.000
3.030 0.000 0.000
3.030 3.030 3.030
1.515 1.515 4.546
1.515 4.546 1.515
4.546 1.515 1.515
4.546 4.546 4.546
```

=====

A relaxed structure of HgH2O, computed with PBEsol.

- Magnetic moment: 0.00 μB per formula unit
- E_tot: -26.35 eV/cell

```
HgH2O
1.0
0.000 3.286 3.286
3.286 0.000 3.286
3.286 3.286 0.000
Hg H O
2 4 2
Cartesian
0.821 0.821 0.821
5.750 5.750 5.750
3.286 1.643 1.643
1.643 3.286 1.643
1.643 1.643 3.286
3.286 3.286 3.286
2.464 2.464 2.464
4.107 4.107 4.107
```